DFT (PBE) results for a geometry-optimized MgZrTlCu structure.

Calculated values
The total energy is -3.8394 eV/atom. The calculation puts the polymorph energy (0 for the lowest one) at 24 meV/atom. Its symmetry is No. 216.

The structure in POSCAR format:
```
MgZrTlCu
1.0
1.785 -4.456 0.372
0.604 -1.997 4.339
-2.844 -3.623 1.400
Zr Mg Tl Cu
1 1 1 1
Cartesian
-0.114 -2.519 1.528
-0.228 -5.038 3.055
0.000 0.000 0.000
-0.341 -7.557 4.583
```